No. 1
GdLuSb: relaxed, PBE-GGA.

a = 7.3012 Å, b = 7.3012 Å, c = 7.3012 Å
α = 90.00°, β = 90.00°, γ = 90.00°
Space group F-43m (No. 216)
Inequivalent atoms, fractional coordinates:
Gd 0.0000 0.0000 0.0000 (multiplicity 4)
Lu 0.2500 0.2500 0.2500 (multiplicity 4)
Sb 0.0000 0.0000 0.5000 (multiplicity 4)

Calculated values
Its total magnetization is 0.01 μB per formula unit. For the energy, the calculation gives -4.318 eV per atom.

=====

No. 2
NpScHg: relaxed, PBE-GGA.

a = 6.8492 Å, b = 6.8492 Å, c = 6.8492 Å
α = 90.00°, β = 90.00°, γ = 90.00°
Space group F-43m (No. 216)
Inequivalent atoms, fractional coordinates:
Np 0.0000 0.0000 0.0000 (multiplicity 4)
Sc 0.2500 0.2500 0.7500 (multiplicity 4)
Hg 0.0000 0.0000 0.5000 (multiplicity 4)

Calculated values
Its total magnetization is 5.04 μB per formula unit. For the calculated formation energy, the calculation gives 0.6629 eV per atom. The value obtained for the distance to the lowest polymorph of the same formula is 0.0 kJ/mol of atoms.

=====

No. 3
Mg2AlPt: relaxed, PBE-GGA.

a = 6.3928 Å, b = 6.3928 Å, c = 6.3928 Å
α = 90.00°, β = 90.00°, γ = 90.00°
Space group F-43m (No. 216)
Inequivalent atoms, fractional coordinates:
Mg 0.0000 0.0000 0.0000 (multiplicity 4)
Mg 0.2500 0.2500 0.2500 (multiplicity 4)
Al 0.0000 0.0000 0.5000 (multiplicity 4)
Pt 0.2500 0.2500 0.7500 (multiplicity 4)

Calculated values
Its total magnetization is 0.00 μB per formula unit. For the energy, the calculation gives -3.776 eV per atom.

=====

No. 4
Nd2Sm2C2BrCl4: relaxed, PBE-GGA.

a = 18.7703 Å, b = 3.8451 Å, c = 8.0789 Å
α = 90.00°, β = 108.09°, γ = 90.00°
Space group C2/m (No. 12)
Inequivalent atoms, fractional coordinates:
Nd 0.1653 0.0000 0.1277 (multiplicity 4)
Sm 0.0006 0.5000 0.2021 (multiplicity 4)
C 0.0395 0.0000 0.0303 (multiplicity 4)
Br 0.0000 0.0000 0.5000 (multiplicity 2)
Cl 0.1619 0.5000 0.3815 (multiplicity 4)
Cl 0.1660 0.5000 0.8591 (multiplicity 4)

Calculated values
Its total magnetization is 0.01 μB per formula unit. The value obtained for the distance to the lowest polymorph of the same formula is 1.6 kJ/mol of atoms.

=====

No. 5
Nb2TlOs: relaxed, PBE-GGA.

a = 6.5972 Å, b = 6.5972 Å, c = 6.5972 Å
α = 90.00°, β = 90.00°, γ = 90.00°
Space group F-43m (No. 216)
Inequivalent atoms, fractional coordinates:
Nb 0.0000 0.0000 0.0000 (multiplicity 4)
Nb 0.2500 0.2500 0.2500 (multiplicity 4)
Tl 0.0000 0.0000 0.5000 (multiplicity 4)
Os 0.2500 0.2500 0.7500 (multiplicity 4)

Calculated values
Its total magnetization is 0.03 μB per formula unit. For the energy, the calculation gives -8.011 eV per atom.

=====

No. 6
KTmBeS3: relaxed, PBE-GGA.

a = 3.8151 Å, b = 14.2183 Å, c = 10.3066 Å
α = 90.00°, β = 90.00°, γ = 90.00°
Space group Cmcm (No. 63)
Inequivalent atoms, fractional coordinates:
K 0.0000 0.2432 0.2500 (multiplicity 4)
Tm 0.0000 0.5000 0.0000 (multiplicity 4)
Be 0.0000 0.0379 0.7500 (multiplicity 4)
S 0.0000 0.1179 0.5804 (multiplicity 8)
S 0.0000 0.4458 0.7500 (multiplicity 4)

Calculated values
Its total magnetization is 0.00 μB per formula unit. For the energy, the calculation gives -5.194 eV per atom.

=====

No. 7
CsMoPd: relaxed, PBE-GGA.

a = 7.2464 Å, b = 7.2464 Å, c = 7.2464 Å
α = 90.00°, β = 90.00°, γ = 90.00°
Space group F-43m (No. 216)
Inequivalent atoms, fractional coordinates:
Cs 0.0000 0.0000 0.0000 (multiplicity 4)
Mo 0.0000 0.0000 0.5000 (multiplicity 4)
Pd 0.2500 0.2500 0.2500 (multiplicity 4)

Calculated values
Its total magnetization is 4.94 μB per formula unit. The value obtained for the distance to the lowest polymorph of the same formula is 0.0 kJ/mol of atoms.

=====

No. 8
CsReAgSe2S: relaxed, PBE-GGA.

a = 3.9013 Å, b = 16.2217 Å, c = 9.9722 Å
α = 90.00°, β = 90.00°, γ = 90.00°
Space group Cmcm (No. 63)
Inequivalent atoms, fractional coordinates:
Cs 0.0000 0.2469 0.2500 (multiplicity 4)
Re 0.0000 0.0000 0.0000 (multiplicity 4)
Ag 0.0000 0.4584 0.7500 (multiplicity 4)
Se 0.0000 0.3931 0.5184 (multiplicity 8)
S 0.0000 0.0554 0.7500 (multiplicity 4)

Calculated values
Its total magnetization is 2.63 μB per formula unit. For the energy, the calculation gives -4.710 eV per atom.

=====

Please write out number 6 again, unchanged.
KTmBeS3: relaxed, PBE-GGA.

a = 3.8151 Å, b = 14.2183 Å, c = 10.3066 Å
α = 90.00°, β = 90.00°, γ = 90.00°
Space group Cmcm (No. 63)
Inequivalent atoms, fractional coordinates:
K 0.0000 0.2432 0.2500 (multiplicity 4)
Tm 0.0000 0.5000 0.0000 (multiplicity 4)
Be 0.0000 0.0379 0.7500 (multiplicity 4)
S 0.0000 0.1179 0.5804 (multiplicity 8)
S 0.0000 0.4458 0.7500 (multiplicity 4)

Calculated values
Its total magnetization is 0.00 μB per formula unit. For the energy, the calculation gives -5.194 eV per atom.